1.
# CoSbMoPd (GGA-PBE, optimized geometry)
data_CoSbMoPd
_chemical_formula_sum 'Co4 Sb4 Mo4 Pd4'
_cell_length_a 6.290
_cell_length_b 6.290
_cell_length_c 6.290
_cell_angle_alpha 90.00
_cell_angle_beta 90.00
_cell_angle_gamma 90.00
_symmetry_space_group_name_H-M 'F -4 3 m'
_symmetry_Int_Tables_number 216
_symmetry_space_group_name_Hall 'F -4 2 3'
loop_
_atom_site_label
_atom_site_fract_x
_atom_site_fract_y
_atom_site_fract_z
Co1 0.000 0.000 0.000
Sb1 0.250 0.250 0.750
Mo1 0.000 0.000 0.500
Pd1 0.250 0.250 0.250
# * E above lowest polymorph: 0 meV per atom

2.
# Co2Mo4PdSe12 (GGA-PBE, optimized geometry)
data_Co2Mo4PdSe12
_chemical_formula_sum 'Co4 Mo8 Pd2 Se24'
_cell_length_a 13.611
_cell_length_b 3.321
_cell_length_c 19.245
_cell_angle_alpha 90.00
_cell_angle_beta 109.83
_cell_angle_gamma 90.00
_symmetry_space_group_name_H-M 'C 1 2/m 1'
_symmetry_Int_Tables_number 12
loop_
_symmetry_equiv_pos_as_xyz
'x,y,z'
'-x,-y,-z'
'-x,y,-z'
'x,-y,z'
'x+1/2,y+1/2,z'
'-x+1/2,-y+1/2,-z'
'-x+1/2,y+1/2,-z'
'x+1/2,-y+1/2,z'
loop_
_atom_site_label
_atom_site_fract_x
_atom_site_fract_y
_atom_site_fract_z
Co1 0.228 0.000 0.283
Mo1 0.123 0.500 0.150
Mo2 0.245 0.500 0.405
Pd1 0.000 0.000 0.000
Se1 0.029 0.000 0.880
Se2 0.099 0.500 0.283
Se3 0.125 0.500 0.611
Se4 0.137 0.000 0.454
Se5 0.187 0.000 0.075
Se6 0.192 0.000 0.766
# * E: -5.944 eV/atom

3.
# PmCoMo (GGA-PBE, optimized geometry)
data_PmCoMo
_chemical_formula_sum 'Pm4 Co4 Mo4'
_cell_length_a 6.357
_cell_length_b 6.357
_cell_length_c 6.357
_cell_angle_alpha 90.00
_cell_angle_beta 90.00
_cell_angle_gamma 90.00
_symmetry_space_group_name_H-M 'F -4 3 m'
_symmetry_Int_Tables_number 216
_symmetry_space_group_name_Hall 'F -4 2 3'
loop_
_atom_site_label
_atom_site_fract_x
_atom_site_fract_y
_atom_site_fract_z
Pm1 0.000 0.000 0.000
Co1 0.250 0.250 0.750
Mo1 0.250 0.250 0.250
# * energy of formation: 1.5315 eV per atom

4.
# PrCoMo (GGA-PBE, optimized geometry)
data_PrCoMo
_chemical_formula_sum 'Pr4 Co4 Mo4'
_cell_length_a 6.460
_cell_length_b 6.460
_cell_length_c 6.460
_cell_angle_alpha 90.00
_cell_angle_beta 90.00
_cell_angle_gamma 90.00
_symmetry_space_group_name_H-M 'F -4 3 m'
_symmetry_Int_Tables_number 216
_symmetry_space_group_name_Hall 'F -4 2 3'
loop_
_atom_site_label
_atom_site_fract_x
_atom_site_fract_y
_atom_site_fract_z
Pr1 0.000 0.000 0.000
Co1 0.250 0.250 0.750
Mo1 0.250 0.250 0.250
# * energy of formation: 1.5815 eV per atom

Q: Which formula does entry 1 have?
A: CoSbMoPd